TmPaO2 | PBE-GGA | optimized geometry

Cell: 3.3129 3.3129 6.2340 Å, 74.59 74.59 60.00°
Last column: nearest neighbours and their distance in Å.
Fractional coordinates of all 4 atoms:
Pa1 0.5000 0.5000 0.5000  6 O 2.56
Tm1 0.0000 0.0000 0.0000  6 O 2.29
O1 0.2622 0.2622 0.2135  3 Tm 2.29, 3 Pa 2.56
O2 0.7378 0.7378 0.7865  3 Tm 2.29, 3 Pa 2.56

Properties
Density of states at the Fermi level   0.67 states/eV per atom
SG   R-3m (166)
Total DFT energy (no corrections)   -8.647 eV per atom

=====

TmPaO4 | PBE-GGA | optimized geometry

Cell: 5.3497 5.3497 6.5565 Å, 114.08 114.08 90.00°
Last column: nearest neighbours and their distance in Å.
Fractional coordinates of all 12 atoms:
Tm1 0.0000 0.0000 0.0000  8 O 2.34
Tm2 0.7500 0.2500 0.5000  8 O 2.34
Pa1 0.2500 0.7500 0.5000  8 O 2.30
Pa2 0.5000 0.5000 0.0000  8 O 2.30
O1 0.1317 0.1250 0.7500  2 Pa 2.30, 2 Tm 2.34
O2 0.8750 0.8683 0.2500  2 Pa 2.30, 2 Tm 2.34
O3 0.1317 0.6250 0.7500  2 Pa 2.30, 2 Tm 2.34
O4 0.3750 0.3817 0.2500  2 Pa 2.30, 2 Tm 2.34
O5 0.6183 0.1250 0.7500  2 Pa 2.30, 2 Tm 2.34
O6 0.6183 0.6250 0.7500  2 Pa 2.30, 2 Tm 2.34
O7 0.3750 0.8683 0.2500  2 Pa 2.30, 2 Tm 2.34
O8 0.8750 0.3817 0.2500  2 Pa 2.30, 2 Tm 2.34

Properties
Density of states at the Fermi level   0.00 states/eV per atom
SG   I4_1/amd (141)
Total DFT energy (no corrections)   -9.380 eV per atom

=====

TmUPaO6 | PBE-GGA | optimized geometry

Cell: 5.7301 5.7301 9.5123 Å, 90.00 90.00 120.00°
Last column: nearest neighbours and their distance in Å.
Fractional coordinates of all 18 atoms:
Tm1 0.3333 0.6667 0.2500  6 O 2.25
Tm2 0.6667 0.3333 0.7500  6 O 2.25
U1 0.6667 0.3333 0.2500  6 O 2.22
U2 0.3333 0.6667 0.7500  6 O 2.22
Pa1 0.0000 0.0000 0.0000  6 O 2.25
Pa2 0.0000 0.0000 0.5000  6 O 2.25
O1 0.6736 0.6689 0.1301  1 U 2.22, 1 Tm 2.25, 1 Pa 2.25
O2 0.9954 0.3264 0.1301  1 U 2.22, 1 Tm 2.25, 1 Pa 2.25
O3 0.3264 0.9954 0.6301  1 U 2.22, 1 Tm 2.25, 1 Pa 2.25
O4 0.0046 0.6736 0.8699  1 U 2.22, 1 Tm 2.25, 1 Pa 2.25
O5 0.3311 0.3264 0.3699  1 U 2.22, 1 Tm 2.25, 1 Pa 2.25
O6 0.9954 0.6689 0.3699  1 U 2.22, 1 Tm 2.25, 1 Pa 2.25
O7 0.6689 0.9954 0.8699  1 U 2.22, 1 Tm 2.25, 1 Pa 2.25
O8 0.6736 0.0046 0.3699  1 U 2.22, 1 Tm 2.25, 1 Pa 2.25
O9 0.0046 0.3311 0.6301  1 U 2.22, 1 Tm 2.25, 1 Pa 2.25
O10 0.3311 0.0046 0.1301  1 U 2.22, 1 Tm 2.25, 1 Pa 2.25
O11 0.6689 0.6736 0.6301  1 U 2.22, 1 Tm 2.25, 1 Pa 2.25
O12 0.3264 0.3311 0.8699  1 U 2.22, 1 Tm 2.25, 1 Pa 2.25

Properties
Density of states at the Fermi level   0.89 states/eV per atom
SG   P-31c (163)
Total DFT energy (no corrections)   -9.492 eV per atom

=====

TmPaZnO6 | PBE-GGA | optimized geometry

Cell: 4.8667 5.3706 5.3706 Å, 120.00 90.00 90.00°
Last column: nearest neighbours and their distance in Å.
Fractional coordinates of all 9 atoms:
Tm1 0.5000 0.6667 0.3333  6 O 2.22
Pa1 0.0000 0.3333 0.6667  6 O 2.16
Zn1 0.5000 0.0000 0.0000  6 O 2.09
O1 0.7407 0.6687 0.6861  1 Zn 2.09, 1 Pa 2.16, 1 Tm 2.22
O2 0.7407 0.3139 0.9827  1 Zn 2.09, 1 Pa 2.16, 1 Tm 2.22
O3 0.7407 0.0173 0.3313  1 Zn 2.09, 1 Pa 2.16, 1 Tm 2.22
O4 0.2593 0.3139 0.3313  1 Zn 2.09, 1 Pa 2.16, 1 Tm 2.22
O5 0.2593 0.6687 0.9827  1 Zn 2.09, 1 Pa 2.16, 1 Tm 2.22
O6 0.2593 0.0173 0.6861  1 Zn 2.09, 1 Pa 2.16, 1 Tm 2.22

Properties
Density of states at the Fermi level   1.07 states/eV per atom
SG   P312 (149)
Total DFT energy (no corrections)   -7.448 eV per atom

=====

TmZrPaO6 | PBE-GGA | optimized geometry

Cell: 5.5665 5.5665 9.5144 Å, 90.00 90.00 120.00°
Last column: nearest neighbours and their distance in Å.
Fractional coordinates of all 18 atoms:
Tm1 0.3333 0.6667 0.2500  6 O 2.24
Tm2 0.6667 0.3333 0.7500  6 O 2.24
Zr1 0.6667 0.3333 0.2500  6 O 2.13
Zr2 0.3333 0.6667 0.7500  6 O 2.13
Pa1 0.0000 0.0000 0.0000  6 O 2.22
Pa2 0.0000 0.0000 0.5000  6 O 2.22
O1 0.6779 0.6628 0.1304  1 Zr 2.13, 1 Pa 2.22, 1 Tm 2.24
O2 0.9849 0.3221 0.1304  1 Zr 2.13, 1 Pa 2.22, 1 Tm 2.24
O3 0.3221 0.9849 0.6304  1 Zr 2.13, 1 Pa 2.22, 1 Tm 2.24
O4 0.0151 0.6779 0.8696  1 Zr 2.13, 1 Pa 2.22, 1 Tm 2.24
O5 0.3372 0.3221 0.3696  1 Zr 2.13, 1 Pa 2.22, 1 Tm 2.24
O6 0.9849 0.6628 0.3696  1 Zr 2.13, 1 Pa 2.22, 1 Tm 2.24
O7 0.6628 0.9849 0.8696  1 Zr 2.13, 1 Pa 2.22, 1 Tm 2.24
O8 0.6779 0.0151 0.3696  1 Zr 2.13, 1 Pa 2.22, 1 Tm 2.24
O9 0.0151 0.3372 0.6304  1 Zr 2.13, 1 Pa 2.22, 1 Tm 2.24
O10 0.3372 0.0151 0.1304  1 Zr 2.13, 1 Pa 2.22, 1 Tm 2.24
O11 0.6628 0.6779 0.6304  1 Zr 2.13, 1 Pa 2.22, 1 Tm 2.24
O12 0.3221 0.3372 0.8696  1 Zr 2.13, 1 Pa 2.22, 1 Tm 2.24

Properties
Density of states at the Fermi level   0.00 states/eV per atom
SG   P-31c (163)
Total DFT energy (no corrections)   -9.274 eV per atom

=====

UPa2O7 | PBE-GGA | optimized geometry

Cell: 3.8703 3.8703 10.7632 Å, 79.64 79.64 60.00°
Last column: nearest neighbours and their distance in Å.
Fractional coordinates of all 10 atoms:
U1 0.5000 0.5000 0.5000  8 O 2.31-2.36
Pa1 0.0665 0.0665 0.8004  4 O 2.10-2.27
Pa2 0.9335 0.9335 0.1996  4 O 2.10-2.27
O1 0.7208 0.7208 0.8377  3 Pa 2.27
O2 0.5730 0.5730 0.2809  1 U 2.31, 3 Pa 2.39, 3 O 2.56
O3 0.0000 0.0000 0.0000  2 Pa 2.10
O4 0.2792 0.2792 0.1623  3 Pa 2.27
O5 0.1424 0.1424 0.5729  3 U 2.36, 1 Pa 2.40
O6 0.8576 0.8576 0.4271  3 U 2.36, 1 Pa 2.40
O7 0.4270 0.4270 0.7191  1 U 2.31, 3 Pa 2.39, 3 O 2.56

Properties
Density of states at the Fermi level   0.75 states/eV per atom
SG   R-3m (166)
Total DFT energy (no corrections)   -9.982 eV per atom

=====

UPaO5 | PBE-GGA | optimized geometry

Cell: 5.7624 5.7624 8.0329 Å, 69.79 69.79 72.42°
Last column: nearest neighbours and their distance in Å.
Fractional coordinates of all 14 atoms:
U1 0.0000 0.0000 0.0000  6 O 2.11-2.18
U2 0.0000 0.0000 0.5000  6 O 2.11-2.18
Pa1 0.5347 0.4653 0.7500  2 O 2.03
Pa2 0.4653 0.5347 0.2500  2 O 2.03
O1 0.2842 0.2340 0.8662  1 Pa 2.03, 1 U 2.18
O2 0.3138 0.7026 0.5397  1 U 2.11, 1 Pa 2.28
O3 0.2340 0.2842 0.3662  1 Pa 2.03, 1 U 2.18
O4 0.8855 0.1145 0.7500  2 U 2.15, 1 Pa 2.39
O5 0.2974 0.6862 0.9603  1 U 2.11, 1 Pa 2.28
O6 0.7026 0.3138 0.0397  1 U 2.11, 1 Pa 2.28
O7 0.1145 0.8855 0.2500  2 U 2.15, 1 Pa 2.39
O8 0.7660 0.7158 0.6338  1 Pa 2.03, 1 U 2.18
O9 0.6862 0.2974 0.4603  1 U 2.11, 1 Pa 2.28
O10 0.7158 0.7660 0.1338  1 Pa 2.03, 1 U 2.18

Properties
Density of states at the Fermi level   0.23 states/eV per atom
SG   C2/c (15)
Total DFT energy (no corrections)   -9.924 eV per atom

=====

UPa2O8 | PBE-GGA | optimized geometry

Cell: 3.8279 6.5672 6.6361 Å, 98.20 90.00 106.94°
Last column: nearest neighbours and their distance in Å.
Fractional coordinates of all 11 atoms:
U1 0.5000 0.0000 0.0000  2 O 1.94
Pa1 0.7471 0.4941 0.7424  8 O 2.22-2.38
Pa2 0.2529 0.5059 0.2576  8 O 2.22-2.38
O1 0.4366 0.8732 0.2485  1 U 1.94
O2 0.7013 0.4025 0.0785  3 Pa 2.30-2.38, 1 U 2.50, 4 O 2.53-2.57
O3 0.8031 0.6062 0.4373  3 Pa 2.24-2.29
O4 0.9221 0.8443 0.8564  1 Pa 2.22, 2 U 2.29
O5 0.1969 0.3938 0.5627  3 Pa 2.24-2.29
O6 0.2987 0.5975 0.9215  3 Pa 2.30-2.38, 1 U 2.50, 4 O 2.53-2.57
O7 0.5634 0.1268 0.7515  1 U 1.94
O8 0.0779 0.1557 0.1436  1 Pa 2.22, 2 U 2.29

Properties
Density of states at the Fermi level   0.00 states/eV per atom
SG   C2/m (12)
Total DFT energy (no corrections)   -9.743 eV per atom